1.
A plane-wave DFT calculation with PBE-GGA was carried out for a geometry-optimized Hf2MgCuAg structure.

Computed properties:
The space-group type is P4/mmm, No. 123. The total energy is -21.7 eV for the cell shown. The calculation puts the total magnetization at 0.0 μB/cell. The calculation puts the energy of formation from the pure elements at 1.36 eV per atom. The value obtained for the theoretical density is 7.82 g/cm3.

Cell lengths 5.0557, 5.0557, 4.5928 Å; angles 90.00, 90.00, 90.00 degrees
With the nearest neighbours (Å) after each atom.
Fractional coordinates of all 5 atoms:
Hf (0.0000, 0.5000, 0.0000)  2 Mg 2.53
Hf (0.5000, 0.0000, 0.0000)  2 Mg 2.53
Mg (0.0000, 0.0000, 0.0000)  2 Ag 2.30, 4 Hf 2.53
Cu (0.5000, 0.5000, 0.5000)  8 Hf 3.42, 4 Ag 3.57
Ag (0.0000, 0.0000, 0.5000)  2 Mg 2.30

=====

2.
A plane-wave DFT calculation with PBE-GGA was carried out for a geometry-optimized ScP2Pt structure.

Computed properties:
The space-group type is R-3m, No. 166. The total energy is -26.1 eV for the cell shown. The calculation puts the total magnetization at 0.0 μB/cell. The energy above the most stable polymorph in this dataset is 0.143 eV per atom. The calculation puts the energy of formation from the pure elements at -0.73 eV per atom. The value obtained for the theoretical density is 7.46 g/cm3.

Cell lengths 5.7725, 5.7725, 5.7725 Å; angles 38.58, 38.58, 38.58 degrees
With the nearest neighbours (Å) after each atom.
Fractional coordinates of all 4 atoms:
Sc (0.0000, 0.0000, 0.0000)  6 P 2.66
P (0.2406, 0.2406, 0.2406)  3 Pt 2.50, 3 Sc 2.66
P (0.7594, 0.7594, 0.7594)  3 Pt 2.50, 3 Sc 2.66
Pt (0.5000, 0.5000, 0.5000)  6 P 2.50

=====

3.
A plane-wave DFT calculation with PBE-GGA was carried out for a geometry-optimized Al3OsCl structure.

Computed properties:
The space-group type is Pm-3m, No. 221. The uncorrected formation energy comes out at -0.554 eV/f.u. The total energy is -24.9 eV for the cell shown. The calculation puts the total magnetization at 0.0 μB/cell. The energy above the most stable polymorph in this dataset is 0.000 eV per atom. The value obtained for the theoretical density is 4.58 g/cm3.

Cell lengths 4.8100, 4.8100, 4.8100 Å; angles 90.00, 90.00, 90.00 degrees
With the nearest neighbours (Å) after each atom.
Fractional coordinates of all 5 atoms:
Al (0.0000, 0.0000, 0.5000)  2 Os 2.41
Al (0.0000, 0.5000, 0.0000)  2 Os 2.41
Al (0.5000, 0.0000, 0.0000)  2 Os 2.41
Os (0.0000, 0.0000, 0.0000)  6 Al 2.41
Cl (0.5000, 0.5000, 0.5000)  12 Al 3.40

=====

4.
A plane-wave DFT calculation with PBE-GGA was carried out for a geometry-optimized Dy2ZnFe2Ni5 structure.

Computed properties:
The space-group type is P4/mbm, No. 127. The total energy is -115.4 eV for the cell shown. The calculation puts the total magnetization at 11.7 μB/cell. The calculation puts the energy of formation from the pure elements at -0.14 eV per atom. The value obtained for the theoretical density is 8.99 g/cm3.

Cell lengths 8.8577, 8.8577, 3.7449 Å; angles 90.00, 90.00, 90.00 degrees
With the nearest neighbours (Å) after each atom.
Fractional coordinates of all 20 atoms:
Dy (0.1832, 0.3168, 0.0000)  3 Fe 2.55-2.70
Dy (0.3168, 0.8168, 0.0000)  3 Fe 2.55-2.70
Dy (0.6832, 0.1832, 0.0000)  3 Fe 2.55-2.70
Dy (0.8168, 0.6832, 0.0000)  3 Fe 2.55-2.70
Zn (0.0000, 0.0000, 0.0000)  8 Ni 2.70
Zn (0.5000, 0.5000, 0.0000)  8 Ni 2.70
Fe (0.1134, 0.6134, 0.0000)  6 Ni 2.35-2.47, 1 Dy 2.55
Fe (0.3866, 0.1134, 0.0000)  6 Ni 2.35-2.47, 1 Dy 2.55
Fe (0.6134, 0.8866, 0.0000)  6 Ni 2.35-2.47, 1 Dy 2.55
Fe (0.8866, 0.3866, 0.0000)  6 Ni 2.35-2.47, 1 Dy 2.55
Ni (0.0000, 0.5000, 0.5000)  4 Fe 2.35, 4 Ni 2.61
Ni (0.0613, 0.7885, 0.5000)  2 Fe 2.47, 3 Ni 2.61-2.76, 2 Zn 2.70
Ni (0.2115, 0.0613, 0.5000)  2 Fe 2.47, 3 Ni 2.61-2.76, 2 Zn 2.70
Ni (0.2885, 0.5613, 0.5000)  2 Fe 2.47, 3 Ni 2.61-2.76, 2 Zn 2.70
Ni (0.4387, 0.2885, 0.5000)  2 Fe 2.47, 3 Ni 2.61-2.76, 2 Zn 2.70
Ni (0.5000, 0.0000, 0.5000)  4 Fe 2.35, 4 Ni 2.61
Ni (0.5613, 0.7115, 0.5000)  2 Fe 2.47, 3 Ni 2.61-2.76, 2 Zn 2.70
Ni (0.7115, 0.4387, 0.5000)  2 Fe 2.47, 3 Ni 2.61-2.76, 2 Zn 2.70
Ni (0.7885, 0.9387, 0.5000)  2 Fe 2.47, 3 Ni 2.61-2.76, 2 Zn 2.70
Ni (0.9387, 0.2115, 0.5000)  2 Fe 2.47, 3 Ni 2.61-2.76, 2 Zn 2.70

=====

theoretical density of number 1 (Hf2MgCuAg)? 7.82 g/cm3

=====

The highest theoretical density belongs to which entry? Dy2ZnFe2Ni5

=====

What did the third record say?
A plane-wave DFT calculation with PBE-GGA was carried out for a geometry-optimized Al3OsCl structure.

Computed properties:
The space-group type is Pm-3m, No. 221. The uncorrected formation energy comes out at -0.554 eV/f.u. The total energy is -24.9 eV for the cell shown. The calculation puts the total magnetization at 0.0 μB/cell. The energy above the most stable polymorph in this dataset is 0.000 eV per atom. The value obtained for the theoretical density is 4.58 g/cm3.

Cell lengths 4.8100, 4.8100, 4.8100 Å; angles 90.00, 90.00, 90.00 degrees
With the nearest neighbours (Å) after each atom.
Fractional coordinates of all 5 atoms:
Al (0.0000, 0.0000, 0.5000)  2 Os 2.41
Al (0.0000, 0.5000, 0.0000)  2 Os 2.41
Al (0.5000, 0.0000, 0.0000)  2 Os 2.41
Os (0.0000, 0.0000, 0.0000)  6 Al 2.41
Cl (0.5000, 0.5000, 0.5000)  12 Al 3.40